Version 1
Below is Pm6Dy2Y3 after structural relaxation, with properties calculated at the PBE-GGA level.

Cell: 32.3334 32.3334 32.3334 Å, 6.40 6.40 6.40°
Closest atoms and distances in Å follow each position.
Element x y z (fractional)
Pm (0.0908, 0.0908, 0.0908)  3 Dy 3.58, 3 Y 3.60, 6 Pm 3.61
Pm (0.1822, 0.1822, 0.1822)  3 Dy 3.59, 9 Pm 3.61-3.66
Pm (0.3636, 0.3636, 0.3636)  6 Y 3.59, 6 Pm 3.61
Pm (0.6364, 0.6364, 0.6364)  6 Y 3.59, 6 Pm 3.61
Pm (0.8178, 0.8178, 0.8178)  3 Dy 3.59, 9 Pm 3.61-3.66
Pm (0.9092, 0.9092, 0.9092)  3 Dy 3.58, 3 Y 3.60, 6 Pm 3.61
Dy (0.4543, 0.4543, 0.4543)  6 Pm 3.58-3.59, 6 Dy 3.61
Dy (0.5457, 0.5457, 0.5457)  6 Pm 3.58-3.59, 6 Dy 3.61
Y (0.0000, 0.0000, 0.0000)  6 Pm 3.59, 6 Y 3.61
Y (0.2729, 0.2729, 0.2729)  6 Pm 3.59-3.60, 6 Y 3.61
Y (0.7271, 0.7271, 0.7271)  6 Pm 3.59-3.60, 6 Y 3.61

The magnetic moment comes out at 0.00 μB/atom. The space group is No. 166.

=====

Version 2
Below is Pm6Dy2Y3 after structural relaxation, with properties calculated at the PBE-GGA level.

Cell: 17.1058 17.1058 17.1058 Å, 163.89 163.89 22.87°
Closest atoms and distances in Å follow each position.
Element x y z (fractional)
Pm (0.1195, 0.6195, 0.5000)  6 Pm 3.39-3.49, 2 Dy 3.46, 2 Y 3.65
Pm (0.1951, 0.1951, 0.0000)  5 Y 3.40-3.47, 4 Pm 3.49
Pm (0.3805, 0.8805, 0.5000)  6 Pm 3.39-3.49, 2 Dy 3.46, 2 Y 3.65
Pm (0.6195, 0.1195, 0.5000)  6 Pm 3.39-3.49, 2 Dy 3.46, 2 Y 3.65
Pm (0.8049, 0.8049, 0.0000)  5 Y 3.40-3.47, 4 Pm 3.49
Pm (0.8805, 0.3805, 0.5000)  6 Pm 3.39-3.49, 2 Dy 3.46, 2 Y 3.65
Dy (0.0452, 0.0452, 0.0000)  1 Dy 3.03
Dy (0.9548, 0.9548, 0.0000)  1 Dy 3.03
Y (0.2987, 0.2987, 0.0000)  9 Pm 3.40-3.65
Y (0.5000, 0.5000, 0.0000)  8 Dy 3.71
Y (0.7014, 0.7014, 0.0000)  9 Pm 3.40-3.65

The magnetic moment comes out at 0.00 μB/atom. The space group is No. 139.

=====

List of relative energies, unit meV per atom: version 1 0; version 2 273

=====

Version 1
Below is PmDy2Y3 after structural relaxation, with properties calculated at the PBE-GGA level.

Cell: 6.6598 6.6598 8.9730 Å, 98.39 98.39 95.00°
Closest atoms and distances in Å follow each position.
Element x y z (fractional)
Pm (0.0976, 0.9024, 0.7500)  5 Y 3.24-3.50
Pm (0.9024, 0.0976, 0.2500)  5 Y 3.24-3.50
Dy (0.1265, 0.6236, 0.3758)  2 Dy 3.49-3.51, 9 Y 3.61-3.78, 3 Pm 3.63-3.85
Dy (0.3764, 0.8735, 0.1242)  2 Dy 3.49-3.51, 9 Y 3.61-3.78, 3 Pm 3.63-3.85
Dy (0.6236, 0.1265, 0.8758)  2 Dy 3.49-3.51, 9 Y 3.61-3.78, 3 Pm 3.63-3.85
Dy (0.8735, 0.3764, 0.6242)  2 Dy 3.49-3.51, 9 Y 3.61-3.78, 3 Pm 3.63-3.85
Y (0.1578, 0.3227, 0.9919)  2 Pm 3.24-3.50, 3 Y 3.29-3.52
Y (0.3227, 0.1578, 0.4919)  2 Pm 3.24-3.50, 3 Y 3.29-3.52
Y (0.4277, 0.5723, 0.7500)  1 Pm 3.24, 4 Y 3.29-3.52, 2 Dy 3.61
Y (0.5723, 0.4277, 0.2500)  1 Pm 3.24, 4 Y 3.29-3.52, 2 Dy 3.61
Y (0.6773, 0.8422, 0.5081)  2 Pm 3.24-3.50, 3 Y 3.29-3.52
Y (0.8422, 0.6773, 0.0081)  2 Pm 3.24-3.50, 3 Y 3.29-3.52

The magnetic moment comes out at 0.00 μB/atom. The space group is No. 15.

=====

Version 2
Below is PmDy2Y3 after structural relaxation, with properties calculated at the PBE-GGA level.

Cell: 11.1972 11.1972 11.3408 Å, 120.38 120.38 18.80°
Closest atoms and distances in Å follow each position.
Element x y z (fractional)
Pm (0.1109, 0.1109, 0.4867)  5 Dy 3.53-3.66, 5 Y 3.55-3.66, 2 Pm 3.66
Pm (0.8891, 0.8891, 0.5133)  5 Dy 3.53-3.66, 5 Y 3.55-3.66, 2 Pm 3.66
Dy (0.2225, 0.2225, 0.8489)  6 Dy 3.51-3.66, 5 Y 3.51-3.64, 1 Pm 3.54
Dy (0.4438, 0.4438, 0.3173)  3 Y 3.52-3.53, 4 Pm 3.53-3.66, 5 Dy 3.58-3.66
Dy (0.5562, 0.5562, 0.6827)  3 Y 3.52-3.53, 4 Pm 3.53-3.66, 5 Dy 3.58-3.66
Dy (0.7775, 0.7775, 0.1511)  6 Dy 3.51-3.66, 5 Y 3.51-3.64, 1 Pm 3.54
Y (0.1118, 0.1118, 0.9863)  5 Dy 3.51-3.64, 7 Y 3.52-3.66
Y (0.2220, 0.2220, 0.3457)  7 Y 3.52-3.66, 2 Dy 3.53, 3 Pm 3.55-3.66
Y (0.4448, 0.4448, 0.8211)  9 Y 3.50-3.66, 1 Dy 3.53, 2 Pm 3.56
Y (0.5552, 0.5552, 0.1789)  9 Y 3.50-3.66, 1 Dy 3.53, 2 Pm 3.56
Y (0.7780, 0.7780, 0.6543)  7 Y 3.52-3.66, 2 Dy 3.53, 3 Pm 3.55-3.66
Y (0.8882, 0.8882, 0.0137)  5 Dy 3.51-3.64, 7 Y 3.52-3.66

The magnetic moment comes out at 0.00 μB/atom. The space group is No. 12.

=====

List of relative energies, unit meV per atom: version 1 58; version 2 0

=====

Version 1
Below is Pm3Dy6Y after structural relaxation, with properties calculated at the PBE-GGA level.

Cell: 6.6511 6.6511 9.6742 Å, 111.06 111.06 59.52°
Closest atoms and distances in Å follow each position.
Element x y z (fractional)
Pm (0.0000, 0.0000, 0.0000)  2 Pm 3.33, 4 Dy 3.33
Pm (0.0695, 0.0695, 0.6987)  4 Dy 3.29-3.36, 2 Pm 3.33-3.50
Pm (0.9305, 0.9305, 0.3013)  4 Dy 3.29-3.36, 2 Pm 3.33-3.50
Dy (0.0675, 0.5604, 0.6897)  3 Dy 3.25-3.35, 3 Pm 3.29-3.36
Dy (0.3622, 0.3622, 0.0774)  1 Y 3.72, 6 Pm 3.82-3.93, 9 Dy 3.84-4.08
Dy (0.4396, 0.9325, 0.3103)  3 Dy 3.25-3.35, 3 Pm 3.29-3.36
Dy (0.5604, 0.0675, 0.6897)  3 Dy 3.25-3.35, 3 Pm 3.29-3.36
Dy (0.6378, 0.6378, 0.9226)  1 Y 3.72, 6 Pm 3.82-3.93, 9 Dy 3.84-4.08
Dy (0.9325, 0.4396, 0.3103)  3 Dy 3.25-3.35, 3 Pm 3.29-3.36
Y (0.5000, 0.5000, 0.5000)  10 Dy 3.72-3.73, 4 Pm 3.74

The magnetic moment comes out at 0.00 μB/atom. The space group is No. 12.

=====

Version 2
Below is Pm3Dy6Y after structural relaxation, with properties calculated at the PBE-GGA level.

Cell: 10.8947 10.8947 6.3995 Å, 90.00 90.00 120.09°
Closest atoms and distances in Å follow each position.
Element x y z (fractional)
Pm (0.1125, 0.8875, 0.5000)  7 Dy 3.47-3.78, 2 Pm 3.57, 1 Y 3.75
Pm (0.2081, 0.4368, 0.8929)  1 Y 3.25, 6 Dy 3.28-3.49, 1 Pm 3.57
Pm (0.4368, 0.2081, 0.3929)  1 Y 3.25, 6 Dy 3.28-3.49, 1 Pm 3.57
Pm (0.5632, 0.7919, 0.8929)  1 Y 3.25, 6 Dy 3.28-3.49, 1 Pm 3.57
Pm (0.7919, 0.5632, 0.3929)  1 Y 3.25, 6 Dy 3.28-3.49, 1 Pm 3.57
Pm (0.8875, 0.1125, 0.0000)  7 Dy 3.47-3.78, 2 Pm 3.57, 1 Y 3.75
Dy (0.0246, 0.4451, 0.2925)  3 Dy 3.16-3.40, 2 Pm 3.28-3.43, 2 Y 3.34-3.54
Dy (0.1241, 0.2148, 0.4758)  4 Dy 3.40-3.69, 4 Pm 3.40-3.78
Dy (0.2148, 0.1241, 0.9758)  4 Dy 3.40-3.69, 4 Pm 3.40-3.78
Dy (0.2287, 0.7713, 0.0789)  4 Dy 3.16-3.39, 1 Y 3.38, 1 Pm 3.47
Dy (0.4451, 0.0246, 0.7925)  3 Dy 3.16-3.40, 2 Pm 3.28-3.43, 2 Y 3.34-3.54
Dy (0.4652, 0.5348, 0.2817)  1 Y 3.39, 2 Dy 3.46, 4 Pm 3.49
Dy (0.5348, 0.4652, 0.7817)  1 Y 3.39, 2 Dy 3.46, 4 Pm 3.49
Dy (0.5549, 0.9754, 0.2925)  3 Dy 3.16-3.40, 2 Pm 3.28-3.43, 2 Y 3.34-3.54
Dy (0.7713, 0.2287, 0.5789)  4 Dy 3.16-3.39, 1 Y 3.38, 1 Pm 3.47
Dy (0.7852, 0.8759, 0.4758)  4 Dy 3.40-3.69, 4 Pm 3.40-3.78
Dy (0.8759, 0.7852, 0.9758)  4 Dy 3.40-3.69, 4 Pm 3.40-3.78
Dy (0.9754, 0.5549, 0.7925)  3 Dy 3.16-3.40, 2 Pm 3.28-3.43, 2 Y 3.34-3.54
Y (0.3104, 0.6896, 0.5490)  2 Pm 3.25, 6 Dy 3.34-3.54
Y (0.6896, 0.3104, 0.0490)  2 Pm 3.25, 6 Dy 3.34-3.54

The magnetic moment comes out at 0.00 μB/atom. The space group is No. 36.

=====

List of relative energies, unit meV per atom: version 1 70; version 2 0

=====

Version 1
Below is Pm2DyY4 after structural relaxation, with properties calculated at the PBE-GGA level.

Cell: 8.6540 8.6540 8.8118 Å, 119.30 119.30 23.83°
Closest atoms and distances in Å follow each position.
Element x y z (fractional)
Pm (0.0696, 0.0696, 0.4307)  1 Pm 3.15, 1 Y 3.36, 1 Dy 3.36
Pm (0.9304, 0.9304, 0.5693)  1 Pm 3.15, 1 Y 3.36, 1 Dy 3.36
Dy (0.0000, 0.0000, 0.0000)  2 Pm 3.36, 2 Dy 3.57, 4 Y 3.59
Y (0.2956, 0.2956, 0.7075)  3 Pm 3.36-3.56, 5 Y 3.56-3.65, 2 Dy 3.59
Y (0.3558, 0.3558, 0.1566)  7 Y 3.56-3.78, 4 Pm 3.66, 2 Dy 3.80
Y (0.6442, 0.6442, 0.8434)  7 Y 3.56-3.78, 4 Pm 3.66, 2 Dy 3.80
Y (0.7044, 0.7044, 0.2925)  3 Pm 3.36-3.56, 5 Y 3.56-3.65, 2 Dy 3.59

The magnetic moment comes out at 0.00 μB/atom. The space group is No. 12.

=====

Version 2
Below is Pm2DyY4 after structural relaxation, with properties calculated at the PBE-GGA level.

Cell: 8.9443 8.9443 11.6335 Å, 130.50 130.50 44.35°
Closest atoms and distances in Å follow each position.
Element x y z (fractional)
Pm (0.0000, 0.0000, 0.0000)  4 Y 3.29-3.64
Pm (0.1078, 0.3352, 0.9720)  1 Y 3.00
Pm (0.6648, 0.8922, 0.0280)  1 Y 3.00
Pm (0.9954, 0.0046, 0.5000)  4 Y 3.29-3.66
Dy (0.1103, 0.3362, 0.4728)  3 Y 3.01-3.33
Dy (0.6638, 0.8897, 0.5272)  3 Y 3.01-3.33
Y (0.2230, 0.7731, 0.7471)  1 Y 3.01, 2 Pm 3.29
Y (0.2269, 0.7770, 0.2529)  1 Y 3.01, 2 Pm 3.29
Y (0.3552, 0.3276, 0.8403)  1 Dy 3.33, 1 Pm 3.36, 2 Y 3.59-3.61
Y (0.3573, 0.3292, 0.3444)  1 Dy 3.33, 1 Pm 3.37, 3 Y 3.61-3.70
Y (0.6710, 0.3294, 0.2484)  1 Pm 3.00, 1 Y 3.01, 1 Dy 3.01
Y (0.6706, 0.3290, 0.7516)  1 Pm 3.00, 1 Y 3.01, 1 Dy 3.01
Y (0.6708, 0.6427, 0.6556)  1 Dy 3.33, 1 Pm 3.37, 3 Y 3.61-3.70
Y (0.6724, 0.6448, 0.1597)  1 Dy 3.33, 1 Pm 3.36, 2 Y 3.59-3.61

The magnetic moment comes out at 0.00 μB/atom. The space group is No. 5.

=====

List of relative energies, unit meV per atom: version 1 0; version 2 137

=====

Version 1
Below is Pm5Dy4Y after structural relaxation, with properties calculated at the PBE-GGA level.

Cell: 8.7466 8.7466 11.5125 Å, 108.46 108.46 23.53°
Closest atoms and distances in Å follow each position.
Element x y z (fractional)
Pm (0.0000, 0.0000, 0.0000)  6 Dy 3.30-3.64, 2 Pm 3.57
Pm (0.2898, 0.2898, 0.8845)  8 Pm 3.57-3.85, 5 Dy 3.64-3.79
Pm (0.3109, 0.3109, 0.4229)  4 Dy 3.36-3.56, 2 Y 3.55, 4 Pm 3.57-3.62
Pm (0.6891, 0.6891, 0.5771)  4 Dy 3.36-3.56, 2 Y 3.55, 4 Pm 3.57-3.62
Pm (0.7103, 0.7103, 0.1155)  8 Pm 3.57-3.85, 5 Dy 3.64-3.79
Dy (0.1045, 0.1045, 0.2965)  6 Pm 3.30-3.64, 1 Y 3.38, 4 Dy 3.53-3.57
Dy (0.4163, 0.4163, 0.2086)  6 Pm 3.50-3.79, 4 Dy 3.53-3.57, 2 Y 3.66
Dy (0.5837, 0.5837, 0.7914)  6 Pm 3.50-3.79, 4 Dy 3.53-3.57, 2 Y 3.66
Dy (0.8955, 0.8955, 0.7035)  6 Pm 3.30-3.64, 1 Y 3.38, 4 Dy 3.53-3.57
Y (0.0000, 0.0000, 0.5000)  6 Dy 3.38-3.66, 4 Pm 3.55, 2 Y 3.57

The magnetic moment comes out at 0.00 μB/atom. The space group is No. 12.

=====

Version 2
Below is Pm5Dy4Y after structural relaxation, with properties calculated at the PBE-GGA level.

Cell: 9.2763 9.2763 10.4809 Å, 95.97 95.97 22.34°
Closest atoms and distances in Å follow each position.
Element x y z (fractional)
Pm (0.0000, 0.0000, 0.0000)  4 Dy 3.31, 2 Pm 3.59
Pm (0.3110, 0.3110, 0.9042)  1 Dy 3.29, 4 Pm 3.59-3.63
Pm (0.3575, 0.3575, 0.2682)  2 Dy 3.43-3.66, 5 Pm 3.59-3.84, 2 Y 3.81
Pm (0.6425, 0.6425, 0.7318)  2 Dy 3.43-3.66, 5 Pm 3.59-3.84, 2 Y 3.81
Pm (0.6890, 0.6890, 0.0958)  1 Dy 3.29, 4 Pm 3.59-3.63
Dy (0.1827, 0.1827, 0.4124)  6 Dy 3.34-3.59, 1 Y 3.54, 1 Pm 3.66
Dy (0.4547, 0.4547, 0.7387)  2 Y 3.26, 4 Pm 3.29-3.43, 4 Dy 3.34-3.59
Dy (0.5453, 0.5453, 0.2613)  2 Y 3.26, 4 Pm 3.29-3.43, 4 Dy 3.34-3.59
Dy (0.8173, 0.8173, 0.5876)  6 Dy 3.34-3.59, 1 Y 3.54, 1 Pm 3.66
Y (0.0000, 0.0000, 0.5000)  6 Dy 3.26-3.54, 2 Y 3.59

The magnetic moment comes out at 0.00 μB/atom. The space group is No. 12.

=====

List of relative energies, unit meV per atom: version 1 0; version 2 114

=====

Version 1
Below is Pm4Dy3Y5 after structural relaxation, with properties calculated at the PBE-GGA level.

Cell: 6.2200 7.1796 8.7861 Å, 89.90 89.98 89.92°
Closest atoms and distances in Å follow each position.
Element x y z (fractional)
Pm (0.1658, 0.2508, 0.1683)  4 Dy 3.57-3.61, 5 Y 3.58-3.60, 3 Pm 3.59-3.60
Pm (0.3325, 0.9996, 0.8337)  4 Pm 3.59-3.60, 5 Y 3.59-3.60, 3 Dy 3.59-3.60
Pm (0.6675, 0.0004, 0.1663)  4 Pm 3.59-3.60, 5 Y 3.59-3.60, 3 Dy 3.59-3.60
Pm (0.8342, 0.7492, 0.8317)  4 Dy 3.57-3.61, 5 Y 3.58-3.60, 3 Pm 3.59-3.60
Dy (0.0000, 0.5000, 0.5000)  2 Dy 3.57, 2 Pm 3.57, 8 Y 3.58-3.59
Dy (0.1673, 0.7491, 0.1687)  5 Y 3.57-3.61, 1 Dy 3.57, 6 Pm 3.58-3.61
Dy (0.8327, 0.2509, 0.8313)  5 Y 3.57-3.61, 1 Dy 3.57, 6 Pm 3.58-3.61
Y (0.0000, 0.0000, 0.5000)  4 Pm 3.58-3.59, 4 Dy 3.58-3.59, 4 Y 3.59-3.60
Y (0.3324, 0.4995, 0.8322)  3 Y 3.57-3.61, 4 Dy 3.58-3.61, 5 Pm 3.58-3.60
Y (0.4990, 0.7484, 0.5001)  6 Y 3.57-3.61, 3 Dy 3.57-3.59, 3 Pm 3.58-3.60
Y (0.5010, 0.2516, 0.4999)  6 Y 3.57-3.61, 3 Dy 3.57-3.59, 3 Pm 3.58-3.60
Y (0.6676, 0.5005, 0.1678)  3 Y 3.57-3.61, 4 Dy 3.58-3.61, 5 Pm 3.58-3.60

The magnetic moment comes out at 0.00 μB/atom. The space group is No. 2.

=====

Version 2
Below is Pm4Dy3Y5 after structural relaxation, with properties calculated at the PBE-GGA level.

Cell: 8.6290 8.6290 9.3727 Å, 114.81 114.81 40.24°
Closest atoms and distances in Å follow each position.
Element x y z (fractional)
Pm (0.0839, 0.0839, 0.4463)  2 Pm 3.29-3.67, 1 Dy 3.44, 3 Y 3.45-3.55
Pm (0.2164, 0.2164, 0.8824)  3 Dy 3.34-3.54, 3 Pm 3.57-3.67, 3 Y 3.68-3.69
Pm (0.7836, 0.7836, 0.1176)  3 Dy 3.34-3.54, 3 Pm 3.57-3.67, 3 Y 3.68-3.69
Pm (0.9161, 0.9161, 0.5537)  2 Pm 3.29-3.67, 1 Dy 3.44, 3 Y 3.45-3.55
Dy (0.2112, 0.2112, 0.2345)  5 Y 3.13-3.47, 2 Pm 3.34-3.44
Dy (0.5000, 0.5000, 0.0000)  2 Y 2.97
Dy (0.7888, 0.7888, 0.7655)  5 Y 3.13-3.47, 2 Pm 3.34-3.44
Y (0.0000, 0.0000, 0.0000)  4 Dy 2.97-3.13
Y (0.3288, 0.3288, 0.6154)  4 Dy 3.21-3.47, 3 Pm 3.45-3.55
Y (0.4278, 0.4278, 0.2964)  2 Dy 3.29-3.46, 2 Y 3.47-3.65, 2 Pm 3.68
Y (0.5722, 0.5722, 0.7036)  2 Dy 3.29-3.46, 2 Y 3.47-3.65, 2 Pm 3.68
Y (0.6712, 0.6712, 0.3846)  4 Dy 3.21-3.47, 3 Pm 3.45-3.55

The magnetic moment comes out at 0.05 μB/atom. The space group is No. 12.

=====

List of relative energies, unit meV per atom: version 1 0; version 2 208